# 1
# BeCrOs (PBE-GGA, relaxed)
data_BeCrOs
_chemical_formula_sum 'Be1 Cr1 Os1'
_cell_length_a 3.9551
_cell_length_b 3.9551
_cell_length_c 2.6072
_cell_angle_alpha 90.00
_cell_angle_beta 90.00
_cell_angle_gamma 120.00
_space_group_name_H-M_alt 'P 3 m 1'
_space_group_IT_number 156
loop_
_space_group_symop_operation_xyz
'x,y,z'
'-y,x-y,z'
'-x+y,-x,z'
'-y,-x,z'
'-x+y,y,z'
'x,x-y,z'
loop_
_atom_site_label
_atom_site_type_symbol
_atom_site_fract_x
_atom_site_fract_y
_atom_site_fract_z
Be1 Be 0.0000 0.0000 0.0000
Cr1 Cr 0.6667 0.3333 0.3246
Os1 Os 0.3333 0.6667 0.6575
# - Energy of formation: 0.04 eV/atom
# - Density of states at the Fermi level: 3.01 states/eV per cell
# - Uncorrected energy: -24.47 eV for the cell shown
# - Energy above the lowest structure with this stoichiometry: 0.2280 eV/atom

=====

# 2
# BeCrOs2 (PBE-GGA, relaxed)
data_BeCrOs2
_chemical_formula_sum 'Be1 Cr1 Os2'
_cell_length_a 2.8525
_cell_length_b 2.8525
_cell_length_c 5.9147
_cell_angle_alpha 90.00
_cell_angle_beta 90.00
_cell_angle_gamma 90.00
_space_group_name_H-M_alt 'P 4/m m m'
_space_group_IT_number 123
_space_group_name_Hall '-P 4 2'
loop_
_atom_site_label
_atom_site_type_symbol
_atom_site_fract_x
_atom_site_fract_y
_atom_site_fract_z
Be1 Be 0.0000 0.0000 0.0000
Cr1 Cr 0.0000 0.0000 0.5000
Os1 Os 0.5000 0.5000 0.2329
# - Energy of formation: -0.10 eV/atom
# - Density of states at the Fermi level: 2.88 states/eV per cell
# - Uncorrected energy: -36.19 eV for the cell shown

=====

# 3
# BeCrOs (PBE-GGA, relaxed)
data_BeCrOs
_chemical_formula_sum 'Be4 Cr4 Os4'
_cell_length_a 8.8052
_cell_length_b 2.8844
_cell_length_c 6.4174
_cell_angle_alpha 90.00
_cell_angle_beta 124.58
_cell_angle_gamma 90.00
_space_group_name_H-M_alt 'C 1 m 1'
_space_group_IT_number 8
loop_
_space_group_symop_operation_xyz
'x,y,z'
'x,-y,z'
'x+1/2,y+1/2,z'
'x+1/2,-y+1/2,z'
loop_
_atom_site_label
_atom_site_type_symbol
_atom_site_fract_x
_atom_site_fract_y
_atom_site_fract_z
Be1 Be 0.0000 0.0000 0.0000
Be2 Be 0.2407 0.5000 0.6819
Cr1 Cr 0.2158 0.5000 0.2748
Cr2 Cr 0.2804 0.0000 0.9949
Os1 Os 0.0280 0.0000 0.3834
Os2 Os 0.4580 0.0000 0.6916
# - Energy of formation: -0.07 eV/atom
# - Density of states at the Fermi level: 8.78 states/eV per cell
# - Uncorrected energy: -99.20 eV for the cell shown
# - Energy above the lowest structure with this stoichiometry: 0.1189 eV/atom

=====

Repeat the second record exactly.
# BeCrOs2 (PBE-GGA, relaxed)
data_BeCrOs2
_chemical_formula_sum 'Be1 Cr1 Os2'
_cell_length_a 2.8525
_cell_length_b 2.8525
_cell_length_c 5.9147
_cell_angle_alpha 90.00
_cell_angle_beta 90.00
_cell_angle_gamma 90.00
_space_group_name_H-M_alt 'P 4/m m m'
_space_group_IT_number 123
_space_group_name_Hall '-P 4 2'
loop_
_atom_site_label
_atom_site_type_symbol
_atom_site_fract_x
_atom_site_fract_y
_atom_site_fract_z
Be1 Be 0.0000 0.0000 0.0000
Cr1 Cr 0.0000 0.0000 0.5000
Os1 Os 0.5000 0.5000 0.2329
# - Energy of formation: -0.10 eV/atom
# - Density of states at the Fermi level: 2.88 states/eV per cell
# - Uncorrected energy: -36.19 eV for the cell shown

=====

> Look up the uncorrected energy of the first one.

-24.47 eV for the cell shown

=====

> Among the records above, which one has the highest energy of formation?

number 1